1.
This record from the Alexandria database describes TmReI after structural relaxation. The functional is PBE.

Properties
Electronic total energy (eV/cell): -40.856
SG: R-3m, No. 166

The structure in POSCAR format:
```
TmReI
1.0
-0.675 4.088 -0.384
-3.871 1.504 0.266
-0.150 3.229 12.086
Tm I Re
2 2 2
direct
0.557 0.557 0.329
0.443 0.443 0.671
0.279 0.279 0.162
0.721 0.721 0.838
0.837 0.837 0.488
0.163 0.163 0.512
```

2.
This record from the Alexandria database describes Co2CuPd after structural relaxation. The functional is PBE.

Properties
Electronic total energy (eV/cell): -42.592
SG: I-42d, No. 122
Distance to the lowest polymorph of the same formula (meV per atom): 291

The structure in POSCAR format:
```
Co2CuPd
1.0
6.668 0.000 0.000
0.000 6.668 0.000
3.334 3.334 2.473
Co Cu Pd
4 2 2
direct
0.613 0.125 0.250
0.137 0.625 0.250
0.375 0.387 0.750
0.875 0.863 0.750
0.500 0.500 0.000
0.250 0.750 0.500
0.000 0.000 0.000
0.750 0.250 0.500
```

3.
This record from the Alexandria database describes GeAsC3 after structural relaxation. The functional is PBE.

Properties
Electronic total energy (eV/cell): -23.962
SG: Pm-3m, No. 221
Distance to the lowest polymorph of the same formula (meV per atom): 0

The structure in POSCAR format:
```
GeAsC3
1.0
3.962 0.000 0.000
0.000 3.962 0.000
0.000 0.000 3.962
C As Ge
3 1 1
direct
0.000 0.500 0.000
0.000 0.000 0.500
0.500 0.000 0.000
0.000 0.000 0.000
0.500 0.500 0.500
```

4.
This record from the Alexandria database describes TcRh2Cl after structural relaxation. The functional is PBE.

Properties
Electronic total energy (eV/cell): -25.065
SG: C2/m, No. 12
Distance to the lowest polymorph of the same formula (meV per atom): 290

The structure in POSCAR format:
```
TcRh2Cl
1.0
-0.850 4.503 1.878
-3.171 3.779 0.438
-1.679 -1.861 3.643
Cl Rh Tc
1 2 1
direct
0.750 0.750 0.750
0.974 0.974 0.007
0.526 0.526 0.493
0.250 0.250 0.250
```

5.
This record from the Alexandria database describes Mg14NbSn after structural relaxation. The functional is PBE.

Properties
Electronic total energy (eV/cell): -35.943
SG: Amm2, No. 38
Distance to the lowest polymorph of the same formula (meV per atom): 0

The structure in POSCAR format:
```
Mg14NbSn
1.0
-1.841 3.249 -5.089
1.311 -6.165 -0.350
-9.880 -2.223 2.155
Mg Nb Sn
14 1 1
direct
0.833 0.167 0.000
0.332 0.668 0.000
0.333 0.166 0.500
0.330 0.167 0.000
0.834 0.667 0.500
0.833 0.670 0.000
0.173 0.340 0.255
0.173 0.340 0.745
0.660 0.827 0.255
0.660 0.827 0.745
0.666 0.334 0.245
0.666 0.334 0.755
0.172 0.828 0.255
0.172 0.828 0.745
0.333 0.667 0.500
0.830 0.170 0.500
```

6.
This record from the Alexandria database describes Ac4Ir2N after structural relaxation. The functional is PBE.

Properties
Electronic total energy (eV/cell): -46.405
SG: I4/mmm, No. 139
Distance to the lowest polymorph of the same formula (meV per atom): 88

The structure in POSCAR format:
```
Ac4Ir2N
1.0
5.112 0.000 0.000
0.000 5.112 0.000
-2.556 -2.556 7.592
Ac Ir N
4 2 1
direct
0.816 0.816 0.632
0.184 0.184 0.368
0.000 0.500 0.000
0.500 0.000 0.000
0.630 0.630 0.261
0.370 0.370 0.739
0.000 0.000 0.000
```

7.
This record from the Alexandria database describes TbAl4Pd8 after structural relaxation. The functional is PBE.

Properties
Electronic total energy (eV/cell): -71.752
SG: I4/mmm, No. 139

The structure in POSCAR format:
```
TbAl4Pd8
1.0
-1.786 -3.769 -3.375
-3.540 -4.902 3.083
-6.142 1.369 -2.542
Tb Al Pd
1 4 8
direct
0.000 0.000 0.000
0.000 0.000 0.500
0.500 0.000 0.500
0.000 0.500 0.000
0.500 0.500 0.000
0.000 0.336 0.664
0.000 0.664 0.336
0.336 0.664 0.664
0.664 0.336 0.336
0.500 0.777 0.223
0.500 0.223 0.777
0.277 0.223 0.223
0.723 0.777 0.777
```

8.
This record from the Alexandria database describes HfZrCoCu after structural relaxation. The functional is PBE.

Properties
Electronic total energy (eV/cell): -30.577
SG: F-43m, No. 216
Distance to the lowest polymorph of the same formula (meV per atom): 37

The structure in POSCAR format:
```
HfZrCoCu
1.0
-0.787 -4.024 -1.947
3.214 -3.205 0.034
-0.515 -3.704 2.573
Co Hf Cu Zr
1 1 1 1
direct
0.750 0.750 0.750
0.500 0.500 0.500
0.250 0.250 0.250
0.000 0.000 0.000
```

9.
This record from the Alexandria database describes Ba3Ga4Si after structural relaxation. The functional is PBE.

Properties
Electronic total energy (eV/cell): -25.280
SG: C2/m, No. 12
Distance to the lowest polymorph of the same formula (meV per atom): 38

The structure in POSCAR format:
```
Ba3Ga4Si
1.0
-0.907 4.000 -0.952
-4.756 -0.494 2.455
6.724 3.372 7.820
Si Ba Ga
1 3 4
direct
0.000 0.500 0.000
0.500 0.000 0.000
0.000 0.159 0.318
0.000 0.841 0.682
0.501 0.413 0.826
0.499 0.587 0.174
0.500 0.711 0.422
0.500 0.289 0.578
```

10.
This record from the Alexandria database describes BaPrAu4 after structural relaxation. The functional is PBE.

Properties
Electronic total energy (eV/cell): -23.746
SG: I-4m2, No. 119

The structure in POSCAR format:
```
BaPrAu4
1.0
-1.839 -3.847 -0.208
3.747 -1.839 0.897
-2.849 3.273 8.453
Ba Pr Au
1 1 4
direct
0.250 0.750 0.500
0.000 0.000 0.000
0.671 0.171 0.342
0.575 0.575 0.151
0.829 0.329 0.658
0.425 0.425 0.849
```

11.
This record from the Alexandria database describes Er2InTc after structural relaxation. The functional is PBE.

Properties
Electronic total energy (eV/cell): -22.470
SG: R-3m, No. 166
Distance to the lowest polymorph of the same formula (meV per atom): 213

The structure in POSCAR format:
```
Er2InTc
1.0
-1.981 1.500 -2.399
-0.888 -1.746 -2.845
-8.616 -3.257 2.591
In Tc Er
1 1 2
direct
0.500 0.500 0.500
0.000 0.000 0.000
0.262 0.262 0.214
0.738 0.738 0.786
```

12.
This record from the Alexandria database describes PaZnGa2 after structural relaxation. The functional is PBE.

Properties
Electronic total energy (eV/cell): -17.270
SG: Fm-3m, No. 225

The structure in POSCAR format:
```
PaZnGa2
1.0
-0.661 1.805 4.386
1.920 -2.187 3.803
3.659 2.025 2.332
Zn Pa Ga
1 1 2
direct
0.500 0.500 0.500
0.000 0.000 0.000
0.250 0.250 0.250
0.750 0.750 0.750
```